DFT (PBE-GGA) results for a relaxed SmDy4Ho15 crystal.

Values from the calculation:
The size of the total moment comes out at 0.00 μB/cell. Its formation energy is 19 meV per atom.

Lattice parameters (Å, degrees): 4.995 4.995 24.966 90.00 90.00 90.00
Fractional positions:
1 Sm 0.000 0.000 0.000
2 Dy 0.000 0.000 0.201
3 Dy 0.000 0.000 0.400
4 Dy 0.000 0.000 0.600
5 Dy 0.000 0.000 0.799
6 Ho 0.000 0.500 0.101
7 Ho 0.000 0.500 0.300
8 Ho 0.000 0.500 0.500
9 Ho 0.000 0.500 0.700
10 Ho 0.000 0.500 0.899
11 Ho 0.500 0.000 0.101
12 Ho 0.500 0.000 0.300
13 Ho 0.500 0.000 0.500
14 Ho 0.500 0.000 0.700
15 Ho 0.500 0.000 0.899
16 Ho 0.500 0.500 0.000
17 Ho 0.500 0.500 0.201
18 Ho 0.500 0.500 0.400
19 Ho 0.500 0.500 0.600
20 Ho 0.500 0.500 0.799